Crystalline Dy5Ho12Mg2 at its relaxed geometry. Source: Alexandria, functional PBE.

Lattice parameters (Å, degrees): 9.0419 9.0419 8.2872 90.66 90.66 60.44
Element x y z (fractional)
Dy (0.0000, 0.0000, 0.0000)
Dy (0.2345, 0.2345, 0.0777)
Dy (0.2997, 0.2997, 0.4898)
Dy (0.7003, 0.7003, 0.5102)
Dy (0.7655, 0.7655, 0.9223)
Ho (0.0324, 0.6639, 0.2567)
Ho (0.0866, 0.0866, 0.3895)
Ho (0.1810, 0.5684, 0.8323)
Ho (0.3361, 0.9676, 0.7433)
Ho (0.4316, 0.8190, 0.1677)
Ho (0.4429, 0.4429, 0.1674)
Ho (0.5571, 0.5571, 0.8326)
Ho (0.5684, 0.1810, 0.8323)
Ho (0.6639, 0.0324, 0.2567)
Ho (0.8190, 0.4316, 0.1677)
Ho (0.9134, 0.9134, 0.6105)
Ho (0.9676, 0.3361, 0.7433)
Mg (0.3278, 0.6722, 0.5000)
Mg (0.6722, 0.3278, 0.5000)

Calculated values
**E_tot**: -79.19 eV per cell
**Energy of formation**: 0.1020 eV/atom
**Magnetization**: 0.0 μB/cell

=====

Crystalline DyHo4Mg at its relaxed geometry. Source: Alexandria, functional PBE.

Lattice parameters (Å, degrees): 6.0505 6.0505 11.7575 104.81 104.81 60.31
Element x y z (fractional)
Dy (0.0000, 0.5000, 0.0000)
Dy (0.5000, 0.0000, 0.5000)
Ho (0.1650, 0.6710, 0.4998)
Ho (0.2518, 0.4148, 0.7497)
Ho (0.3290, 0.8350, 0.0002)
Ho (0.4148, 0.2518, 0.2497)
Ho (0.5852, 0.7482, 0.7503)
Ho (0.6710, 0.1650, 0.9998)
Ho (0.7482, 0.5852, 0.2503)
Ho (0.8350, 0.3290, 0.5002)
Mg (0.0814, 0.9186, 0.2500)
Mg (0.9186, 0.0814, 0.7500)

Calculated values
**Energy relative to the lowest polymorph listed for this composition**: 37 meV per atom
**E_tot**: -48.70 eV per cell
**Energy of formation**: 0.0267 eV/atom
**Magnetization**: 0.0 μB/cell

=====

Crystalline Dy4Ho2Mg at its relaxed geometry. Source: Alexandria, functional PBE.

Lattice parameters (Å, degrees): 5.9651 6.5150 11.4001 90.00 105.14 90.00
Element x y z (fractional)
Dy (0.0242, 0.2500, 0.3746)
Dy (0.1499, 0.2500, 0.9405)
Dy (0.3576, 0.0014, 0.2132)
Dy (0.3576, 0.4986, 0.2132)
Dy (0.6424, 0.5014, 0.7868)
Dy (0.6424, 0.9986, 0.7868)
Dy (0.8501, 0.7500, 0.0595)
Dy (0.9758, 0.7500, 0.6254)
Ho (0.2772, 0.7500, 0.9229)
Ho (0.3985, 0.7500, 0.4959)
Ho (0.6015, 0.2500, 0.5041)
Ho (0.7228, 0.2500, 0.0771)
Mg (0.1509, 0.2500, 0.6654)
Mg (0.8491, 0.7500, 0.3346)

Calculated values
**Energy relative to the lowest polymorph listed for this composition**: 0 meV per atom
**E_tot**: -56.85 eV per cell
**Energy of formation**: 0.1046 eV/atom
**Magnetization**: 0.0 μB/cell